1.
The following is a DFT calculation (PBE-GGA) of a relaxed structure of LaReSi2.

Its volume is 19.9 Å³/atom. The size of the total moment comes out at 0.001 μB per cell. The theoretical density comes out at 8.0 Mg/m³. The calculation puts the total energy at -0.26383 hartree per atom.

```
LaReSi2
1.0
3.279 0.000 0.000
0.000 3.430 0.000
0.000 0.000 14.157
La Re Si
2 2 4
Direct
0.000 0.000 0.000
0.500 0.500 0.500
0.000 0.500 0.742
0.500 0.000 0.242
0.000 0.000 0.367
0.000 0.500 0.178
0.500 0.000 0.678
0.500 0.500 0.867
```



2.
The following is a DFT calculation (PBE-GGA) of a relaxed structure of LaReSi2.

Its volume is 20.3 Å³/atom. The size of the total moment comes out at 0.000 μB per cell. The theoretical density comes out at 7.8 Mg/m³. The calculation puts the total energy at -0.27146 hartree per atom.

```
LaReSi2
1.0
8.008 0.000 0.000
0.000 3.469 0.000
-3.117 0.000 5.841
La Re Si
2 2 4
Direct
0.000 0.000 0.000
0.500 0.500 0.000
0.212 0.000 0.540
0.712 0.500 0.540
0.063 0.500 0.671
0.355 0.500 0.379
0.563 0.000 0.671
0.855 0.000 0.379
```



3.
The following is a DFT calculation (PBE-GGA) of a relaxed structure of LaReSi2.

Its volume is 19.4 Å³/atom. The size of the total moment comes out at 0.000 μB per cell. The theoretical density comes out at 8.2 Mg/m³. The calculation puts the total energy at -0.26294 hartree per atom.

```
LaReSi2
1.0
3.251 0.000 0.000
0.000 3.874 0.000
-1.365 0.000 6.145
La Re Si
1 1 2
Direct
0.000 0.000 0.000
0.762 0.500 0.434
0.296 0.000 0.504
0.388 0.500 0.741
```



4.
The following is a DFT calculation (PBE-GGA) of a relaxed structure of LaReSi2.

Its volume is 18.3 Å³/atom. The size of the total moment comes out at 0.000 μB per cell. The theoretical density comes out at 8.6 Mg/m³. The calculation puts the total energy at -0.24262 hartree per atom.

```
LaReSi2
1.0
6.641 0.000 0.000
0.000 6.641 0.000
0.000 0.000 6.641
La Re Si
4 4 8
Direct
0.000 0.000 0.000
0.000 0.500 0.500
0.500 0.000 0.500
0.500 0.500 0.000
0.250 0.250 0.750
0.250 0.750 0.250
0.750 0.250 0.250
0.750 0.750 0.750
0.000 0.000 0.500
0.000 0.500 0.000
0.250 0.250 0.250
0.250 0.750 0.750
0.500 0.000 0.000
0.500 0.500 0.500
0.750 0.250 0.750
0.750 0.750 0.250
```



5.
The following is a DFT calculation (PBE-GGA) of a relaxed structure of LaRe2Si.

Its volume is 17.6 Å³/atom. The size of the total moment comes out at 0.002 μB per cell. The theoretical density comes out at 12.7 Mg/m³. The calculation puts the total energy at -0.30316 hartree per atom.

```
LaRe2Si
1.0
6.061 0.000 0.000
0.000 8.953 0.000
-1.408 0.000 2.594
La Re Si
2 4 2
Direct
0.000 0.000 0.000
0.500 0.500 0.000
0.250 0.250 0.500
0.250 0.750 0.500
0.750 0.250 0.500
0.750 0.750 0.500
0.000 0.500 0.000
0.500 0.000 0.000
```



6.
The following is a DFT calculation (PBE-GGA) of a relaxed structure of LaReSi2.

Its volume is 18.6 Å³/atom. The size of the total moment comes out at 0.001 μB per cell. The theoretical density comes out at 8.5 Mg/m³. The calculation puts the total energy at -0.24705 hartree per atom.

```
LaReSi2
1.0
4.143 0.000 0.000
0.000 4.143 0.000
0.000 0.000 4.342
La Re Si
1 1 2
Direct
0.000 0.000 0.000
0.500 0.500 0.000
0.000 0.500 0.500
0.500 0.000 0.500
```



7.
The following is a DFT calculation (PBE-GGA) of a relaxed structure of LaReSi2.

Its volume is 20.5 Å³/atom. The size of the total moment comes out at 0.000 μB per cell. The theoretical density comes out at 7.7 Mg/m³. The calculation puts the total energy at -0.25851 hartree per atom.

```
LaReSi2
1.0
3.279 0.000 0.000
0.000 5.681 0.000
0.000 0.000 8.812
La Re Si
2 2 4
Direct
0.000 0.000 0.000
0.500 0.500 0.500
0.000 0.000 0.500
0.500 0.500 0.000
0.000 0.500 0.207
0.000 0.500 0.793
0.500 0.000 0.293
0.500 0.000 0.707
```



8.
The following is a DFT calculation (PBE-GGA) of a relaxed structure of LaReSi2.

Its volume is 17.9 Å³/atom. The size of the total moment comes out at 0.000 μB per cell. The theoretical density comes out at 8.8 Mg/m³. The calculation puts the total energy at -0.26977 hartree per atom.

```
LaReSi2
1.0
3.176 0.000 0.000
0.000 3.176 0.000
0.000 0.000 7.120
La Re Si
1 1 2
Direct
0.000 0.000 0.000
0.000 0.000 0.500
0.500 0.500 0.316
0.500 0.500 0.684
```



9.
The following is a DFT calculation (PBE-GGA) of a relaxed structure of LaRe2Si.

Its volume is 19.9 Å³/atom. The size of the total moment comes out at 0.000 μB per cell. The theoretical density comes out at 11.3 Mg/m³. The calculation puts the total energy at -0.32146 hartree per atom.

```
LaRe2Si
1.0
3.159 0.000 0.000
0.000 4.231 0.000
-0.938 0.000 5.945
La Re Si
1 2 1
Direct
0.000 0.000 0.000
0.387 0.000 0.485
0.830 0.500 0.418
0.427 0.500 0.736
```



10.
The following is a DFT calculation (PBE-GGA) of a relaxed structure of LaReSi3.

Its volume is 26.2 Å³/atom. The size of the total moment comes out at 0.000 μB per cell. The calculation puts the energy above the lowest structure with this stoichiometry at 3016.1 meV/atom. The theoretical density comes out at 5.2 Mg/m³. The calculation puts the total energy at -0.15338 hartree per atom.

```
LaReSi3
1.0
5.076 0.000 0.000
0.000 5.076 0.000
0.000 0.000 5.076
La Re Si
1 1 3
Direct
0.000 0.000 0.000
0.500 0.500 0.500
0.000 0.000 0.500
0.000 0.500 0.000
0.500 0.000 0.000
```



11.
The following is a DFT calculation (PBE-GGA) of a relaxed structure of LaReSi2.

Its volume is 18.0 Å³/atom. The size of the total moment comes out at 0.000 μB per cell. The theoretical density comes out at 8.8 Mg/m³. The calculation puts the total energy at -0.25871 hartree per atom.

```
LaReSi2
1.0
6.599 0.000 0.000
0.000 6.599 0.000
0.000 0.000 6.599
La Re Si
4 4 8
Direct
0.000 0.000 0.000
0.000 0.500 0.500
0.500 0.000 0.500
0.500 0.500 0.000
0.000 0.000 0.500
0.000 0.500 0.000
0.500 0.000 0.000
0.500 0.500 0.500
0.250 0.250 0.250
0.250 0.250 0.750
0.250 0.750 0.250
0.250 0.750 0.750
0.750 0.250 0.250
0.750 0.250 0.750
0.750 0.750 0.250
0.750 0.750 0.750
```



12.
The following is a DFT calculation (PBE-GGA) of a relaxed structure of LaReSi2.

Its volume is 18.8 Å³/atom. The size of the total moment comes out at 0.000 μB per cell. The theoretical density comes out at 8.4 Mg/m³. The calculation puts the total energy at -0.24722 hartree per atom.

```
LaReSi2
1.0
6.001 0.000 0.000
0.000 7.499 0.000
-0.819 0.000 3.338
La Re Si
2 2 4
Direct
0.000 0.000 0.000
0.500 0.500 0.000
0.000 0.500 0.000
0.500 0.000 0.000
0.250 0.250 0.500
0.250 0.750 0.500
0.750 0.250 0.500
0.750 0.750 0.500
```



13.
The following is a DFT calculation (PBE-GGA) of a relaxed structure of La2ReSi2.

Its volume is 21.7 Å³/atom. The size of the total moment comes out at 0.000 μB per cell. The theoretical density comes out at 8.0 Mg/m³. The calculation puts the total energy at -0.25695 hartree per atom.

```
La2ReSi2
1.0
6.804 0.000 0.000
0.000 6.804 0.000
0.000 0.000 4.689
La Re Si
4 2 4
Direct
0.183 0.317 0.000
0.317 0.817 0.000
0.683 0.183 0.000
0.817 0.683 0.000
0.000 0.000 0.500
0.500 0.500 0.500
0.129 0.629 0.500
0.371 0.129 0.500
0.629 0.871 0.500
0.871 0.371 0.500
```



14.
The following is a DFT calculation (PBE-GGA) of a relaxed structure of LaRe2Si.

Its volume is 17.5 Å³/atom. The size of the total moment comes out at 0.000 μB per cell. The theoretical density comes out at 12.8 Mg/m³. The calculation puts the total energy at -0.30966 hartree per atom.

```
LaRe2Si
1.0
3.245 0.000 0.000
0.000 4.952 0.000
0.000 0.000 8.696
La Re Si
2 4 2
Direct
0.000 0.000 0.000
0.500 0.500 0.000
0.000 0.500 0.294
0.000 0.500 0.706
0.500 0.000 0.294
0.500 0.000 0.706
0.000 0.000 0.500
0.500 0.500 0.500
```



15.
The following is a DFT calculation (PBE-GGA) of a relaxed structure of LaReSi2Tc.

Its volume is 18.4 Å³/atom. The size of the total moment comes out at 0.005 μB per cell. The theoretical density comes out at 8.7 Mg/m³. The calculation puts the total energy at -0.30263 hartree per atom.

```
LaReSi2Tc
1.0
4.188 0.000 0.000
0.000 4.188 0.000
0.000 0.000 10.485
La Re Si Tc
2 2 4 2
Direct
0.000 0.000 0.000
0.500 0.500 0.500
0.000 0.500 0.750
0.500 0.000 0.250
0.000 0.000 0.372
0.000 0.000 0.628
0.500 0.500 0.128
0.500 0.500 0.872
0.000 0.500 0.250
0.500 0.000 0.750
```



16.
The following is a DFT calculation (PBE-GGA) of a relaxed structure of La2ReSn.

Its volume is 27.9 Å³/atom. The size of the total moment comes out at 0.000 μB per cell. The theoretical density comes out at 8.7 Mg/m³. The formation energy from the elements is 0.19 eV/atom. The calculation puts the total energy at -0.23470 hartree per atom.

```
La2ReSn
1.0
8.656 0.000 0.000
0.000 8.656 0.000
0.000 0.000 5.954
La Re Sn
8 4 4
Direct
0.181 0.250 0.125
0.250 0.681 0.375
0.250 0.819 0.875
0.319 0.250 0.625
0.681 0.750 0.625
0.750 0.181 0.875
0.750 0.319 0.375
0.819 0.750 0.125
0.000 0.000 0.000
0.000 0.500 0.250
0.500 0.000 0.750
0.500 0.500 0.500
0.000 0.000 0.500
0.000 0.500 0.750
0.500 0.000 0.250
0.500 0.500 0.000
```



17.
The following is a DFT calculation (PBE-GGA) of a relaxed structure of LaReSn3.

Its volume is 28.3 Å³/atom. The size of the total moment comes out at 0.000 μB per cell. The calculation puts the energy above the lowest structure with this stoichiometry at 0.0 meV/atom. The theoretical density comes out at 8.0 Mg/m³. The formation energy from the elements is 0.17 eV/atom. The calculation puts the total energy at -0.20983 hartree per atom.

```
LaReSn3
1.0
5.210 0.000 0.000
0.000 5.210 0.000
0.000 0.000 5.210
La Re Sn
1 1 3
Direct
0.000 0.000 0.000
0.500 0.500 0.500
0.000 0.500 0.500
0.500 0.000 0.500
0.500 0.500 0.000
```



18.
The following is a DFT calculation (PBE-GGA) of a relaxed structure of LaReSn3.

Its volume is 38.2 Å³/atom. The size of the total moment comes out at 0.000 μB per cell. The calculation puts the energy above the lowest structure with this stoichiometry at 2029.7 meV/atom. The theoretical density comes out at 5.9 Mg/m³. The formation energy from the elements is 2.20 eV/atom. The calculation puts the total energy at -0.13524 hartree per atom.

```
LaReSn3
1.0
5.758 0.000 0.000
0.000 5.758 0.000
0.000 0.000 5.758
La Re Sn
1 1 3
Direct
0.000 0.000 0.000
0.500 0.500 0.500
0.000 0.000 0.500
0.000 0.500 0.000
0.500 0.000 0.000
```



19.
The following is a DFT calculation (PBE-GGA) of a relaxed structure of LaZrReSn2.

Its volume is 31.0 Å³/atom. The size of the total moment comes out at 0.002 μB per cell. The theoretical density comes out at 7.0 Mg/m³. The formation energy from the elements is 1.62 eV/atom. The calculation puts the total energy at -0.19002 hartree per atom.

```
LaZrReSn2
1.0
5.669 0.000 0.000
0.000 5.669 0.000
0.000 0.000 4.827
La Zr Re Sn
1 1 1 2
Direct
0.000 0.000 0.000
0.500 0.500 0.500
0.000 0.000 0.500
0.000 0.500 0.000
0.500 0.000 0.000
```



20.
The following is a DFT calculation (PBE-GGA) of a relaxed structure of SrLa3Re.

Its volume is 38.1 Å³/atom. The size of the total moment comes out at 0.000 μB per cell. The calculation puts the energy above the lowest structure with this stoichiometry at 0.0 meV/atom. The theoretical density comes out at 6.0 Mg/m³. The formation energy from the elements is 0.15 eV/atom. The calculation puts the total energy at -0.20712 hartree per atom.

```
SrLa3Re
1.0
5.756 0.000 0.000
0.000 5.756 0.000
0.000 0.000 5.756
Sr La Re
1 3 1
Direct
0.000 0.000 0.000
0.000 0.500 0.500
0.500 0.000 0.500
0.500 0.500 0.000
0.500 0.500 0.500
```